U2IrOs: optimized geometry, PBE.

Cell lengths 2.9741, 2.9741, 8.2785 Å; angles 90.00, 90.00, 90.00 degrees
Space group P4/mmm (No. 123)
One atom of each set of equivalent atoms:
U: 0.0000 0.0000 0.2446 (multiplicity 2)
Ir: 0.5000 0.5000 0.5000 (multiplicity 1)
Os: 0.5000 0.5000 0.0000 (multiplicity 1)

Calculated values
Total moment ... 0.000 μB per formula unit
Formation energy from the elements ... -0.21 eV per atom
Energy above the most stable polymorph in this dataset ... 18 meV/atom
E ... -10.873 eV/atom

---

BaMg2GePd: optimized geometry, PBE.

Cell lengths 5.1029, 5.1029, 4.9526 Å; angles 90.00, 90.00, 90.00 degrees
Space group P4/mmm (No. 123)
One atom of each set of equivalent atoms:
Ba: 0.0000 0.0000 0.0000 (multiplicity 1)
Mg: 0.0000 0.5000 0.5000 (multiplicity 2)
Ge: 0.5000 0.5000 0.0000 (multiplicity 1)
Pd: 0.5000 0.5000 0.5000 (multiplicity 1)

Calculated values
Total moment ... 0.000 μB per formula unit
Formation energy from the elements ... -0.37 eV per atom
E ... -3.349 eV/atom

---

ZrVS2: optimized geometry, PBE.

Cell lengths 3.5239, 3.5239, 23.8278 Å; angles 90.00, 90.00, 120.00 degrees
Space group R-3m (No. 166, hexagonal axes)
One atom of each set of equivalent atoms:
Zr: 0.0000 0.0000 0.0000 (multiplicity 3)
V: 0.0000 0.0000 0.5000 (multiplicity 3)
S: 0.0000 0.0000 0.4003 (multiplicity 6)

Calculated values
Total moment ... 3.683 μB per formula unit
Energy above the most stable polymorph in this dataset ... 332 meV/atom
E ... -7.178 eV/atom
Energy relative to the elements, uncorrected ... -0.697 eV/atom

---

CdIn2Fe2: optimized geometry, PBE.

Cell lengths 3.3272, 3.3272, 18.0065 Å; angles 90.00, 90.00, 90.00 degrees
Space group I4/mmm (No. 139)
One atom of each set of equivalent atoms:
Cd: 0.0000 0.0000 0.0000 (multiplicity 2)
In: 0.0000 0.0000 0.3751 (multiplicity 4)
Fe: 0.0000 0.5000 0.2500 (multiplicity 4)

Calculated values
Total moment ... 4.314 μB per formula unit
Formation energy from the elements ... 0.31 eV per atom
Energy above the most stable polymorph in this dataset ... 61 meV/atom
E ... -4.358 eV/atom

---

KBe2Hg: optimized geometry, PBE.

Cell lengths 4.2540, 4.3854, 5.6091 Å; angles 90.00, 90.00, 90.00 degrees
Space group Pmmm (No. 47)
One atom of each set of equivalent atoms:
K: 0.0000 0.0000 0.0000 (multiplicity 1)
Be: 0.2504 0.5000 0.5000 (multiplicity 2)
Hg: 0.5000 0.0000 0.5000 (multiplicity 1)

Calculated values
Total moment ... 0.000 μB per formula unit
Formation energy from the elements ... 0.40 eV per atom
E ... -1.817 eV/atom

---

SmMg4Au5: optimized geometry, PBE.

Cell lengths 3.4078, 3.4078, 16.6606 Å; angles 90.00, 90.00, 90.00 degrees
Space group P4/mmm (No. 123)
One atom of each set of equivalent atoms:
Sm: 0.0000 0.0000 0.0000 (multiplicity 1)
Mg: 0.0000 0.0000 0.2155 (multiplicity 2)
Mg: 0.0000 0.0000 0.4056 (multiplicity 2)
Au: 0.5000 0.5000 0.1222 (multiplicity 2)
Au: 0.5000 0.5000 0.3108 (multiplicity 2)
Au: 0.5000 0.5000 0.5000 (multiplicity 1)

Calculated values
Total moment ... 0.000 μB per formula unit
Formation energy from the elements ... -0.64 eV per atom
E ... -3.386 eV/atom

---

AgPb2: optimized geometry, PBE.

Cell lengths 5.2820, 5.2820, 6.7136 Å; angles 90.00, 90.00, 120.00 degrees
Space group P6_3/mmc (No. 194)
One atom of each set of equivalent atoms:
Ag: 0.3333 0.6667 0.2500 (multiplicity 2)
Pb: 0.0000 0.0000 0.0000 (multiplicity 2)
Pb: 0.3333 0.6667 0.7500 (multiplicity 2)

Calculated values
Total moment ... 0.000 μB per formula unit
Formation energy from the elements ... 0.11 eV per atom
E ... -3.311 eV/atom

---

CuPd7Au12: optimized geometry, PBE.

Cell lengths 9.8023, 9.8023, 13.0283 Å; angles 90.00, 90.00, 120.00 degrees
Space group R-3 (No. 148, hexagonal axes)
One atom of each set of equivalent atoms:
Cu: 0.0000 0.0000 0.0000 (multiplicity 3)
Pd: 0.0000 0.0000 0.5000 (multiplicity 3)
Pd: 0.0522 0.1827 0.8258 (multiplicity 18)
Au: 0.0151 0.4603 0.6959 (multiplicity 18)
Au: 0.0377 0.5700 0.0958 (multiplicity 18)

Calculated values
Total moment ... 0.000 μB per formula unit
Formation energy from the elements ... 0.07 eV per atom
E ... -3.919 eV/atom

---

NaTlGeAs2: optimized geometry, PBE.

Cell lengths 15.7837, 3.8995, 10.4329 Å; angles 90.00, 122.52, 90.00 degrees
Space group C2/m (No. 12)
One atom of each set of equivalent atoms:
Na: 0.1397 0.0000 0.3300 (multiplicity 4)
Tl: 0.2332 0.5000 0.1593 (multiplicity 4)
Ge: 0.0431 0.5000 0.6802 (multiplicity 4)
As: 0.0858 0.0000 0.8601 (multiplicity 4)
As: 0.1367 0.5000 0.5472 (multiplicity 4)

Calculated values
Total moment ... 0.000 μB per formula unit
Formation energy from the elements ... -0.10 eV per atom
E ... -3.623 eV/atom

---

HgN3Cl: optimized geometry, PBE.

Cell lengths 4.3857, 4.3857, 4.3857 Å; angles 90.00, 90.00, 90.00 degrees
Space group Pm-3m (No. 221)
One atom of each set of equivalent atoms:
Hg: 0.0000 0.0000 0.0000 (multiplicity 1)
N: 0.0000 0.0000 0.5000 (multiplicity 3)
Cl: 0.5000 0.5000 0.5000 (multiplicity 1)

Calculated values
Total moment ... 6.181 μB per formula unit
E ... -2.728 eV/atom
Energy relative to the elements, uncorrected ... 2.697 eV/atom

---

Tb2Nd3Y6Ho: optimized geometry, PBE.

Cell lengths 6.2326, 10.7886, 11.8642 Å; angles 90.00, 100.04, 90.00 degrees
Space group C2/m (No. 12)
One atom of each set of equivalent atoms:
Tb: 0.0000 0.1666 0.0000 (multiplicity 4)
Nd: 0.0000 0.0000 0.5000 (multiplicity 2)
Nd: 0.0000 0.3333 0.5000 (multiplicity 4)
Y: 0.2492 0.0000 0.2470 (multiplicity 4)
Y: 0.2489 0.3334 0.2468 (multiplicity 8)
Ho: 0.0000 0.5000 0.0000 (multiplicity 2)

Calculated values
Total moment ... 0.000 μB per formula unit
Formation energy from the elements ... 0.02 eV per atom
E ... -5.561 eV/atom

---

Hf2Np3NbN6: optimized geometry, PBE.

Cell lengths 5.6798, 9.8219, 5.8233 Å; angles 90.00, 108.91, 90.00 degrees
Space group C2/m (No. 12)
One atom of each set of equivalent atoms:
Hf: 0.0000 0.1671 0.0000 (multiplicity 4)
Np: 0.0000 0.0000 0.5000 (multiplicity 2)
Np: 0.0000 0.3360 0.5000 (multiplicity 4)
Nb: 0.0000 0.5000 0.0000 (multiplicity 2)
N: 0.2366 0.0000 0.2247 (multiplicity 4)
N: 0.2450 0.3310 0.2276 (multiplicity 8)

Calculated values
Total moment ... 9.290 μB per formula unit
E ... -11.272 eV/atom
Energy relative to the elements, uncorrected ... -1.376 eV/atom